Record 1
Computed, not measured: a relaxed structure of HoSi2Ni2Ru at the GGA-PBE level of DFT.

As for the energy relative to the elements, uncorrected: -91 meV per atom. As for the volume: 104.6 Å³ per cell.

a = 4.4569 Å, b = 4.4569 Å, c = 5.2660 Å
α = 90.00°, β = 90.00°, γ = 90.00°
With the nearest neighbours (Å) after each atom.
Positions (direct):
Ho 0.0000 0.0000 0.0000  2 Ru 2.63
Si 0.0000 0.5000 0.5000  2 Ru 2.23
Si 0.5000 0.0000 0.5000  2 Ru 2.23
Ni 0.5000 0.5000 0.2532  4 Si 2.58, 2 Ni 2.60-2.67
Ni 0.5000 0.5000 0.7468  4 Si 2.58, 2 Ni 2.60-2.67
Ru 0.0000 0.0000 0.5000  4 Si 2.23


Record 2
Computed, not measured: a relaxed structure of HoNiSnRu at the GGA-PBE level of DFT.

The formation energy from the elements is -0.38 eV per atom. As for the volume: 281.0 Å³ per cell.

a = 6.5500 Å, b = 6.5500 Å, c = 6.5500 Å
α = 90.00°, β = 90.00°, γ = 90.00°
With the nearest neighbours (Å) after each atom.
Positions (direct):
Ho 0.0000 0.0000 0.0000  4 Ni 2.84, 4 Ru 2.84
Ho 0.0000 0.5000 0.5000  4 Ni 2.84, 4 Ru 2.84
Ho 0.5000 0.0000 0.5000  4 Ni 2.84, 4 Ru 2.84
Ho 0.5000 0.5000 0.0000  4 Ni 2.84, 4 Ru 2.84
Ni 0.2500 0.2500 0.7500  4 Sn 2.84, 4 Ho 2.84
Ni 0.2500 0.7500 0.2500  4 Sn 2.84, 4 Ho 2.84
Ni 0.7500 0.2500 0.2500  4 Sn 2.84, 4 Ho 2.84
Ni 0.7500 0.7500 0.7500  4 Ho 2.84, 4 Sn 2.84
Sn 0.0000 0.0000 0.5000  4 Ru 2.84, 4 Ni 2.84
Sn 0.0000 0.5000 0.0000  4 Ru 2.84, 4 Ni 2.84
Sn 0.5000 0.0000 0.0000  4 Ru 2.84, 4 Ni 2.84
Sn 0.5000 0.5000 0.5000  4 Ru 2.84, 4 Ni 2.84
Ru 0.2500 0.2500 0.2500  4 Sn 2.84, 4 Ho 2.84
Ru 0.2500 0.7500 0.7500  4 Sn 2.84, 4 Ho 2.84
Ru 0.7500 0.2500 0.7500  4 Sn 2.84, 4 Ho 2.84
Ru 0.7500 0.7500 0.2500  4 Sn 2.84, 4 Ho 2.84


Record 3
Computed, not measured: a relaxed structure of HoThNiRu at the GGA-PBE level of DFT.

The formation energy from the elements is -0.49 eV per atom. Its polymorph energy (0 for the lowest one) is 0.00 eV/f.u. As for the volume: 170.0 Å³ per cell.

a = 4.0641 Å, b = 3.8462 Å, c = 10.8727 Å
α = 90.00°, β = 90.00°, γ = 90.00°
With the nearest neighbours (Å) after each atom.
Positions (direct):
Ho 0.0000 0.0000 0.0000  4 Ni 2.87, 3 Ru 3.00-3.10
Ho 0.0000 0.5000 0.5000  4 Ni 2.87, 3 Ru 3.00-3.10
Th 0.5000 0.0000 0.7239  4 Ru 2.85, 3 Ni 3.06
Th 0.5000 0.5000 0.2239  4 Ru 2.85, 3 Ni 3.06
Ni 0.5000 0.0000 0.4429  2 Ru 2.72, 4 Ho 2.87
Ni 0.5000 0.5000 0.9429  2 Ru 2.72, 4 Ho 2.87
Ru 0.0000 0.0000 0.2762  2 Ni 2.72, 4 Th 2.85, 1 Ho 3.00
Ru 0.0000 0.5000 0.7762  2 Ni 2.72, 4 Th 2.85, 1 Ho 3.00


Record 4
Computed, not measured: a relaxed structure of HoThNiRu at the GGA-PBE level of DFT.

The formation energy from the elements is -0.39 eV per atom. Its polymorph energy (0 for the lowest one) is 0.42 eV/f.u. As for the volume: 331.7 Å³ per cell.

a = 6.9223 Å, b = 6.9223 Å, c = 6.9223 Å
α = 90.00°, β = 90.00°, γ = 90.00°
With the nearest neighbours (Å) after each atom.
Positions (direct):
Ho 0.0000 0.0000 0.0000  4 Ru 3.00, 4 Ni 3.00
Ho 0.0000 0.5000 0.5000  4 Ru 3.00, 4 Ni 3.00
Ho 0.5000 0.0000 0.5000  4 Ru 3.00, 4 Ni 3.00
Ho 0.5000 0.5000 0.0000  4 Ru 3.00, 4 Ni 3.00
Th 0.0000 0.0000 0.5000  4 Ni 3.00, 4 Ru 3.00
Th 0.0000 0.5000 0.0000  4 Ni 3.00, 4 Ru 3.00
Th 0.5000 0.0000 0.0000  4 Ni 3.00, 4 Ru 3.00
Th 0.5000 0.5000 0.5000  4 Ni 3.00, 4 Ru 3.00
Ni 0.2500 0.2500 0.2500  4 Ho 3.00, 4 Th 3.00
Ni 0.2500 0.7500 0.7500  4 Ho 3.00, 4 Th 3.00
Ni 0.7500 0.2500 0.7500  4 Ho 3.00, 4 Th 3.00
Ni 0.7500 0.7500 0.2500  4 Th 3.00, 4 Ho 3.00
Ru 0.2500 0.2500 0.7500  4 Th 3.00, 4 Ho 3.00
Ru 0.2500 0.7500 0.2500  4 Th 3.00, 4 Ho 3.00
Ru 0.7500 0.2500 0.2500  4 Th 3.00, 4 Ho 3.00
Ru 0.7500 0.7500 0.7500  4 Th 3.00, 4 Ho 3.00


Record 5
Computed, not measured: a relaxed structure of HoTiNiRu at the GGA-PBE level of DFT.

The formation energy from the elements is -0.36 eV per atom. As for the volume: 266.5 Å³ per cell.

a = 6.4350 Å, b = 6.4350 Å, c = 6.4350 Å
α = 90.00°, β = 90.00°, γ = 90.00°
With the nearest neighbours (Å) after each atom.
Positions (direct):
Ho 0.0000 0.0000 0.0000  4 Ni 2.79, 4 Ru 2.79
Ho 0.0000 0.5000 0.5000  4 Ru 2.79, 4 Ni 2.79
Ho 0.5000 0.0000 0.5000  4 Ru 2.79, 4 Ni 2.79
Ho 0.5000 0.5000 0.0000  4 Ru 2.79, 4 Ni 2.79
Ti 0.0000 0.0000 0.5000  4 Ru 2.79, 4 Ni 2.79
Ti 0.0000 0.5000 0.0000  4 Ru 2.79, 4 Ni 2.79
Ti 0.5000 0.0000 0.0000  4 Ru 2.79, 4 Ni 2.79
Ti 0.5000 0.5000 0.5000  4 Ru 2.79, 4 Ni 2.79
Ni 0.2500 0.2500 0.7500  4 Ho 2.79, 4 Ti 2.79
Ni 0.2500 0.7500 0.2500  4 Ho 2.79, 4 Ti 2.79
Ni 0.7500 0.2500 0.2500  4 Ho 2.79, 4 Ti 2.79
Ni 0.7500 0.7500 0.7500  4 Ho 2.79, 4 Ti 2.79
Ru 0.2500 0.2500 0.2500  4 Ho 2.79, 4 Ti 2.79
Ru 0.2500 0.7500 0.7500  4 Ho 2.79, 4 Ti 2.79
Ru 0.7500 0.2500 0.7500  4 Ho 2.79, 4 Ti 2.79
Ru 0.7500 0.7500 0.2500  4 Ho 2.79, 4 Ti 2.79


Record 6
Computed, not measured: a relaxed structure of HoVNiRu at the GGA-PBE level of DFT.

The formation energy from the elements is -0.10 eV per atom. As for the volume: 257.4 Å³ per cell.

a = 6.3613 Å, b = 6.3613 Å, c = 6.3613 Å
α = 90.00°, β = 90.00°, γ = 90.00°
With the nearest neighbours (Å) after each atom.
Positions (direct):
Ho 0.0000 0.0000 0.0000  4 Ni 2.75, 4 Ru 2.75
Ho 0.0000 0.5000 0.5000  4 Ni 2.75, 4 Ru 2.75
Ho 0.5000 0.0000 0.5000  4 Ni 2.75, 4 Ru 2.75
Ho 0.5000 0.5000 0.0000  4 Ni 2.75, 4 Ru 2.75
V 0.0000 0.0000 0.5000  4 Ru 2.75, 4 Ni 2.75
V 0.0000 0.5000 0.0000  4 Ru 2.75, 4 Ni 2.75
V 0.5000 0.0000 0.0000  4 Ru 2.75, 4 Ni 2.75
V 0.5000 0.5000 0.5000  4 Ru 2.75, 4 Ni 2.75
Ni 0.2500 0.2500 0.7500  4 V 2.75, 4 Ho 2.75
Ni 0.2500 0.7500 0.2500  4 V 2.75, 4 Ho 2.75
Ni 0.7500 0.2500 0.2500  4 V 2.75, 4 Ho 2.75
Ni 0.7500 0.7500 0.7500  4 Ho 2.75, 4 V 2.75
Ru 0.2500 0.2500 0.2500  4 Ho 2.75, 4 V 2.75
Ru 0.2500 0.7500 0.7500  4 Ho 2.75, 4 V 2.75
Ru 0.7500 0.2500 0.7500  4 Ho 2.75, 4 V 2.75
Ru 0.7500 0.7500 0.2500  4 Ho 2.75, 4 V 2.75


Record 7
Computed, not measured: a relaxed structure of YHoNiRu at the GGA-PBE level of DFT.

The formation energy from the elements is -0.41 eV per atom. Its polymorph energy (0 for the lowest one) is 0.00 eV/f.u. As for the volume: 78.1 Å³ per cell.

a = 3.3985 Å, b = 3.3985 Å, c = 6.7579 Å
α = 90.00°, β = 90.00°, γ = 90.00°
With the nearest neighbours (Å) after each atom.
Positions (direct):
Y 0.0000 0.0000 0.0000  4 Ru 2.95, 4 Ni 2.97
Ho 0.0000 0.0000 0.4968  4 Ru 2.91, 4 Ni 2.92
Ni 0.5000 0.5000 0.7427  4 Ho 2.92, 4 Y 2.97
Ru 0.5000 0.5000 0.2528  4 Ho 2.91, 4 Y 2.95


Record 8
Computed, not measured: a relaxed structure of YHoNiRu at the GGA-PBE level of DFT.

The formation energy from the elements is -0.39 eV per atom. Its polymorph energy (0 for the lowest one) is 0.07 eV/f.u. As for the volume: 311.7 Å³ per cell.

a = 6.7800 Å, b = 6.7800 Å, c = 6.7800 Å
α = 90.00°, β = 90.00°, γ = 90.00°
With the nearest neighbours (Å) after each atom.
Positions (direct):
Y 0.0000 0.0000 0.0000  4 Ru 2.94, 4 Ni 2.94
Y 0.0000 0.5000 0.5000  4 Ru 2.94, 4 Ni 2.94
Y 0.5000 0.0000 0.5000  4 Ru 2.94, 4 Ni 2.94
Y 0.5000 0.5000 0.0000  4 Ru 2.94, 4 Ni 2.94
Ho 0.0000 0.0000 0.5000  4 Ru 2.94, 4 Ni 2.94
Ho 0.0000 0.5000 0.0000  4 Ru 2.94, 4 Ni 2.94
Ho 0.5000 0.0000 0.0000  4 Ru 2.94, 4 Ni 2.94
Ho 0.5000 0.5000 0.5000  4 Ru 2.94, 4 Ni 2.94
Ni 0.2500 0.2500 0.2500  4 Ho 2.94, 4 Y 2.94
Ni 0.2500 0.7500 0.7500  4 Ho 2.94, 4 Y 2.94
Ni 0.7500 0.2500 0.7500  4 Ho 2.94, 4 Y 2.94
Ni 0.7500 0.7500 0.2500  4 Ho 2.94, 4 Y 2.94
Ru 0.2500 0.2500 0.7500  4 Ho 2.94, 4 Y 2.94
Ru 0.2500 0.7500 0.2500  4 Ho 2.94, 4 Y 2.94
Ru 0.7500 0.2500 0.2500  4 Ho 2.94, 4 Y 2.94
Ru 0.7500 0.7500 0.7500  4 Ho 2.94, 4 Y 2.94